1.
SrLi2AgO: relaxed, PBE-GGA.

**Total DFT energy (no corrections)**: -3.641 eV per atom
**V**: 95.86 Å³/f.u.
**Spin magnetization**: 0.42 μB per formula unit
**ΔE_f (raw)**: -4.88 eV per formula unit
**Space-group type**: No. 123

abc: 4.4089 4.4089 4.9315
angles: 90.00 90.00 90.00
Closest atoms and distances in Å follow each position.
Atoms (fractional coordinates):
Sr  0.0000  0.0000  0.0000  2 O 2.47
Li  0.0000  0.5000  0.5000  2 O 2.20
Li  0.5000  0.0000  0.5000  2 O 2.20
Ag  0.5000  0.5000  0.0000  4 Sr 3.12, 8 Li 3.31
O  0.0000  0.0000  0.5000  4 Li 2.20, 2 Sr 2.47

***

2.
SrLiAgO2: relaxed, PBE-GGA.

**Total DFT energy (no corrections)**: -4.743 eV per atom
**V**: 74.63 Å³/f.u.
**Spin magnetization**: 0.00 μB per formula unit
**ΔE_f (raw)**: -7.35 eV per formula unit
**Space-group type**: No. 67

abc: 6.2937 6.2937 4.9219
angles: 90.00 90.00 130.04
Closest atoms and distances in Å follow each position.
Atoms (fractional coordinates):
Sr  0.2500  0.7500  0.7909  2 O 2.41
Sr  0.7500  0.2500  0.2091  2 O 2.41
Li  0.2500  0.2500  0.0000  4 O 2.09
Li  0.7500  0.7500  0.0000  4 O 2.09
Ag  0.0000  0.0000  0.5000  2 O 2.10
Ag  0.5000  0.5000  0.5000  2 O 2.10
O  0.1190  0.8810  0.1746  2 Li 2.09, 1 Ag 2.10
O  0.3810  0.6190  0.1746  2 Li 2.09, 1 Ag 2.10
O  0.6190  0.3810  0.8254  2 Li 2.09, 1 Ag 2.10
O  0.8810  0.1190  0.8254  2 Li 2.09, 1 Ag 2.10

***

3.
Sr2LiAgO: relaxed, PBE-GGA.

**Total DFT energy (no corrections)**: -3.736 eV per atom
**V**: 114.94 Å³/f.u.
**Spin magnetization**: 0.00 μB per formula unit
**ΔE_f (raw)**: -5.59 eV per formula unit
**Space-group type**: No. 123

abc: 5.2204 5.2204 4.2176
angles: 90.00 90.00 90.00
Closest atoms and distances in Å follow each position.
Atoms (fractional coordinates):
Sr  0.0000  0.5000  0.0000  2 O 2.61
Sr  0.5000  0.0000  0.0000  2 O 2.61
Li  0.0000  0.0000  0.5000  2 O 2.11
Ag  0.5000  0.5000  0.5000  8 Sr 3.36, 4 Li 3.69
O  0.0000  0.0000  0.0000  2 Li 2.11

***

4.
LiTcAgO4: relaxed, PBE-GGA.

**Total DFT energy (no corrections)**: -6.199 eV per atom
**V**: 113.02 Å³/f.u.
**Spin magnetization**: 1.00 μB per formula unit
**ΔE_f (raw)**: -8.43 eV per formula unit
**Space-group type**: No. 11

abc: 6.1732 6.4057 6.2037
angles: 90.00 112.86 90.00
Closest atoms and distances in Å follow each position.
Atoms (fractional coordinates):
Li  0.1302  0.2500  0.3726  4 O 1.97-2.02
Li  0.8698  0.7500  0.6274  4 O 1.97-2.02
Tc  0.1437  0.7500  0.3555  4 O 1.76-1.83
Tc  0.8563  0.2500  0.6445  4 O 1.76-1.83
Ag  0.4611  0.2500  0.0405  2 O 2.12
Ag  0.5389  0.7500  0.9595  2 O 2.12
O  0.1728  0.2500  0.7128  1 Tc 1.83, 1 Li 2.02
O  0.2115  0.7500  0.6702  1 Tc 1.83, 1 Li 2.02
O  0.2300  0.5118  0.2703  1 Tc 1.76, 1 Li 1.97
O  0.2300  0.9882  0.2703  1 Tc 1.76, 1 Li 1.97
O  0.7700  0.0118  0.7297  1 Tc 1.76, 1 Li 1.97
O  0.7700  0.4882  0.7297  1 Tc 1.76, 1 Li 1.97
O  0.7885  0.2500  0.3298  1 Tc 1.83, 1 Li 2.02
O  0.8272  0.7500  0.2872  1 Tc 1.83, 1 Li 2.02

***

5.
LiTc2AgO8: relaxed, PBE-GGA.

**Total DFT energy (no corrections)**: -6.763 eV per atom
**V**: 187.84 Å³/f.u.
**Spin magnetization**: 0.00 μB per formula unit
**ΔE_f (raw)**: -15.99 eV per formula unit
**Space-group type**: No. 164

abc: 5.8920 5.8920 6.2481
angles: 90.00 90.00 120.00
Closest atoms and distances in Å follow each position.
Atoms (fractional coordinates):
Li  0.0000  0.0000  0.0000  6 O 2.17
Tc  0.3333  0.6667  0.7046  4 O 1.73-1.75
Tc  0.6667  0.3333  0.2954  4 O 1.73-1.75
Ag  0.0000  0.0000  0.5000  6 O 2.51
O  0.1697  0.3394  0.7901  1 Tc 1.75
O  0.1697  0.8303  0.7901  1 Tc 1.75
O  0.3333  0.6667  0.4285  1 Tc 1.73
O  0.3394  0.1697  0.2099  1 Tc 1.75
O  0.6606  0.8303  0.7901  1 Tc 1.75
O  0.6667  0.3333  0.5715  1 Tc 1.73
O  0.8303  0.1697  0.2099  1 Tc 1.75
O  0.8303  0.6606  0.2099  1 Tc 1.75

***

6.
Li2AgTeO4: relaxed, PBE-GGA.

**Total DFT energy (no corrections)**: -4.745 eV per atom
**V**: 107.97 Å³/f.u.
**Spin magnetization**: 0.00 μB per formula unit
**ΔE_f (raw)**: -8.31 eV per formula unit
**Space-group type**: No. 15

abc: 6.7167 6.7167 6.1970
angles: 110.33 110.33 107.43
Closest atoms and distances in Å follow each position.
Atoms (fractional coordinates):
Li  0.0000  0.0000  0.0000  2 O 2.01
Li  0.0000  0.0000  0.5000  2 O 2.01
Li  0.0000  0.5000  0.0000  2 O 1.89
Li  0.5000  0.0000  0.5000  2 O 1.89
Ag  0.5000  0.5000  0.0000  2 O 2.22
Ag  0.5000  0.5000  0.5000  2 O 2.22
Te  0.0000  0.5000  0.5000  6 O 2.01-2.16
Te  0.5000  0.0000  0.0000  6 O 2.01-2.16
O  0.1601  0.2908  0.4772  1 Te 2.01, 1 Li 2.01, 1 Ag 2.22
O  0.2034  0.7006  0.9309  1 Li 1.89
O  0.2908  0.1601  0.9772  1 Te 2.01, 1 Li 2.01, 1 Ag 2.22
O  0.2994  0.7966  0.5691  1 Li 1.89
O  0.7006  0.2034  0.4309  1 Li 1.89
O  0.7092  0.8399  0.0228  1 Te 2.01, 1 Li 2.01, 1 Ag 2.22
O  0.7966  0.2994  0.0691  1 Li 1.89
O  0.8399  0.7092  0.5228  1 Te 2.01, 1 Li 2.01, 1 Ag 2.22

***

7.
Li2Ag2TeO6: relaxed, PBE-GGA.

**Total DFT energy (no corrections)**: -4.569 eV per atom
**V**: 152.86 Å³/f.u.
**Spin magnetization**: 2.06 μB per formula unit
**ΔE_f (raw)**: -7.83 eV per formula unit
**Space-group type**: No. 166

abc: 6.1933 6.1933 6.1933
angles: 56.11 56.11 56.11
Closest atoms and distances in Å follow each position.
Atoms (fractional coordinates):
Li  0.0941  0.0941  0.0941  3 O 1.84
Li  0.9059  0.9059  0.9059  3 O 1.84
Ag  0.3023  0.3023  0.3023  3 O 2.44
Ag  0.6977  0.6977  0.6977  3 O 2.44
Te  0.5000  0.5000  0.5000  6 O 1.94
O  0.2723  0.2723  0.7269  1 Li 1.84, 1 Te 1.94
O  0.2723  0.7269  0.2723  1 Li 1.84, 1 Te 1.94
O  0.2731  0.7277  0.7277  1 Li 1.84, 1 Te 1.94
O  0.7269  0.2723  0.2723  1 Li 1.84, 1 Te 1.94
O  0.7277  0.2731  0.7277  1 Li 1.84, 1 Te 1.94
O  0.7277  0.7277  0.2731  1 Li 1.84, 1 Te 1.94

***

8.
LiAg2TeO4: relaxed, PBE-GGA.

**Total DFT energy (no corrections)**: -4.590 eV per atom
**V**: 123.98 Å³/f.u.
**Spin magnetization**: 0.00 μB per formula unit
**ΔE_f (raw)**: -6.13 eV per formula unit
**Space-group type**: No. 82

abc: 5.2415 5.2415 9.0252
angles: 90.00 90.00 90.00
Closest atoms and distances in Å follow each position.
Atoms (fractional coordinates):
Li  0.0000  0.0000  0.0000  4 O 2.01
Li  0.5000  0.5000  0.5000  4 O 2.01
Ag  0.0000  0.0000  0.5000  4 O 2.40
Ag  0.0000  0.5000  0.2500  4 O 2.43
Ag  0.5000  0.0000  0.7500  4 O 2.43
Ag  0.5000  0.5000  0.0000  4 O 2.40
Te  0.0000  0.5000  0.7500  4 O 1.92
Te  0.5000  0.0000  0.2500  4 O 1.92
O  0.1786  0.2582  0.8723  1 Te 1.92, 1 Li 2.01
O  0.2418  0.6786  0.6277  1 Te 1.92, 1 Li 2.01
O  0.2582  0.8214  0.1277  1 Te 1.92, 1 Li 2.01
O  0.3214  0.2418  0.3723  1 Te 1.92, 1 Li 2.01
O  0.6786  0.7582  0.3723  1 Te 1.92, 1 Li 2.01
O  0.7418  0.1786  0.1277  1 Te 1.92, 1 Li 2.01
O  0.7582  0.3214  0.6277  1 Te 1.92, 1 Li 2.01
O  0.8214  0.7418  0.8723  1 Te 1.92, 1 Li 2.01